No. 1
PrTlZn after structural relaxation. Source: the Open Quantum Materials Database, functional PBE.

Output
Uncorrected energy ... -2.718 eV/atom
Theoretical density ... 7.3 Mg/m³
Volume ... 31.123 A^3/atom

a = 5.092 Å, b = 5.092 Å, c = 5.092 Å
α = 60.00°, β = 60.00°, γ = 60.00°
Atoms (fractional coordinates):
Pr (0.000, 0.000, 0.000)
Zn (0.750, 0.750, 0.750)
Tl (0.250, 0.250, 0.250)

---

No. 2
RbCuSe after structural relaxation. Source: the Open Quantum Materials Database, functional PBE.

Output
Uncorrected energy ... -3.285 eV/atom
Theoretical density ... 5.0 Mg/m³
Volume ... 25.152 A^3/atom

a = 4.363 Å, b = 4.363 Å, c = 7.928 Å
α = 90.00°, β = 90.00°, γ = 90.00°
Atoms (fractional coordinates):
Cu (0.500, 0.500, 0.500)
Cu (0.000, 0.000, 0.500)
Se (0.500, 0.000, 0.328)
Se (0.000, 0.500, 0.672)
Rb (0.000, 0.500, 0.165)
Rb (0.500, 0.000, 0.835)

---

No. 3
Tl2FeAgCl6 after structural relaxation. Source: the Open Quantum Materials Database, functional PBE.

Output
Relative energy among the computed polymorphs ... 0 meV/atom
Theoretical density ... 5.1 Mg/m³
Volume ... 25.667 A^3/atom

a = 6.928 Å, b = 7.326 Å, c = 12.137 Å
α = 90.00°, β = 123.55°, γ = 90.00°
Last column: magnetic moment on the atom in μB.
Atoms (fractional coordinates):
Cl (0.217, 0.725, 0.030)  0.12
Cl (0.217, 0.775, 0.530)  0.12
Cl (0.313, 0.185, 0.030)  0.12
Cl (0.783, 0.275, 0.970)  0.12
Cl (0.687, 0.685, 0.470)  0.12
Cl (0.687, 0.815, 0.970)  0.12
Cl (0.830, 0.993, 0.765)  0.12
Cl (0.783, 0.225, 0.470)  0.12
Cl (0.170, 0.493, 0.735)  0.12
Cl (0.170, 0.007, 0.235)  0.12
Cl (0.830, 0.507, 0.265)  0.12
Cl (0.313, 0.315, 0.530)  0.12
Tl (0.269, 0.436, 0.249)  0.02
Tl (0.270, 0.064, 0.749)  0.02
Tl (0.730, 0.936, 0.251)  0.02
Tl (0.730, 0.564, 0.751)  0.02
Fe (0.000, 0.000, 0.000)  3.81
Fe (0.000, 0.500, 0.500)  3.81
Ag (0.500, 0.000, 0.500)  0.10
Ag (0.500, 0.500, 0.000)  0.10

---

No. 4
Sm3TeSe2 after structural relaxation. Source: the Open Quantum Materials Database, functional PBE.

Output
Uncorrected energy ... -5.713 eV/atom
Theoretical density ... 7.5 Mg/m³
Volume ... 27.335 A^3/atom

a = 4.258 Å, b = 4.258 Å, c = 10.447 Å
α = 90.00°, β = 90.00°, γ = 120.00°
Atoms (fractional coordinates):
Te (0.000, 0.000, 0.500)
Sm (0.667, 0.333, 0.310)
Sm (0.000, 0.000, 0.000)
Sm (0.333, 0.667, 0.690)
Se (0.667, 0.333, 0.842)
Se (0.333, 0.667, 0.158)

---

No. 5
HfNpAl after structural relaxation. Source: the Open Quantum Materials Database, functional PBE.

Output
Relative energy among the computed polymorphs ... 0 meV/atom
Theoretical density ... 10.5 Mg/m³
Volume ... 23.326 A^3/atom

a = 4.625 Å, b = 4.625 Å, c = 4.625 Å
α = 60.00°, β = 60.00°, γ = 60.00°
Last column: magnetic moment on the atom in μB.
Atoms (fractional coordinates):
Hf (0.250, 0.250, 0.250)  0.33
Al (0.000, 0.000, 0.000)  -0.02
Np (0.750, 0.750, 0.750)  3.81

---

No. 6
SmDyCF2 after structural relaxation. Source: the Open Quantum Materials Database, functional PBE.

Output
Uncorrected energy ... -6.827 eV/atom
Theoretical density ... 8.0 Mg/m³
Volume ... 15.081 A^3/atom

a = 3.686 Å, b = 3.686 Å, c = 6.409 Å
α = 90.00°, β = 90.00°, γ = 120.00°
Atoms (fractional coordinates):
C (0.000, 0.000, 0.993)
Sm (0.333, 0.667, 0.210)
F (0.667, 0.333, 0.395)
F (0.333, 0.667, 0.620)
Dy (0.667, 0.333, 0.781)

---

No. 7
Cu2SnHgTe3S after structural relaxation. Source: the Open Quantum Materials Database, functional PBE.

Output
Uncorrected energy ... -3.338 eV/atom
Theoretical density ... 6.3 Mg/m³
Volume ... 28.496 A^3/atom

a = 6.144 Å, b = 6.144 Å, c = 7.391 Å
α = 114.04°, β = 114.04°, γ = 90.06°
Atoms (fractional coordinates):
Te (0.605, 0.111, 0.715)
Te (0.891, 0.891, 0.296)
Te (0.111, 0.605, 0.715)
Hg (0.019, 0.019, 0.013)
Cu (0.269, 0.719, 0.482)
Cu (0.719, 0.269, 0.482)
S (0.396, 0.396, 0.281)
Sn (0.491, 0.491, 0.016)

---

No. 8
TeIr7 after structural relaxation. Source: the Open Quantum Materials Database, functional PBE.

Output
Relative energy among the computed polymorphs ... 0 meV/atom
Theoretical density ... 13.6 Mg/m³
Volume ... 22.513 A^3/atom

a = 2.798 Å, b = 3.840 Å, c = 33.522 Å
α = 90.00°, β = 90.00°, γ = 90.00°
Atoms (fractional coordinates):
Ir (0.500, 0.500, 0.817)
Ir (0.500, 0.500, 0.734)
Ir (0.000, 0.000, 0.266)
Ir (0.000, 0.000, 0.778)
Ir (0.000, 0.000, 0.020)
Ir (0.500, 0.500, 0.899)
Ir (0.500, 0.500, 0.142)
Ir (0.000, 0.000, 0.939)
Ir (0.000, 0.000, 0.858)
Ir (0.500, 0.500, 0.061)
Ir (0.000, 0.000, 0.101)
Ir (0.500, 0.500, 0.222)
Ir (0.000, 0.000, 0.183)
Ir (0.500, 0.500, 0.980)
Te (0.000, 0.000, 0.691)
Te (0.500, 0.500, 0.309)

---

No. 9
DyZr3Tl2C2 after structural relaxation. Source: the Open Quantum Materials Database, functional PBE.

Output
Uncorrected energy ... -7.225 eV/atom
Theoretical density ... 9.2 Mg/m³
Volume ... 19.662 A^3/atom

a = 3.430 Å, b = 3.430 Å, c = 15.437 Å
α = 90.00°, β = 90.00°, γ = 120.00°
Atoms (fractional coordinates):
Tl (0.000, 0.000, 0.253)
Tl (0.667, 0.333, 0.741)
Zr (0.667, 0.333, 0.417)
Zr (0.000, 0.000, 0.576)
Zr (0.667, 0.333, 0.087)
C (0.333, 0.667, 0.013)
C (0.333, 0.667, 0.496)
Dy (0.000, 0.000, 0.917)

---

No. 10
ZnOs after structural relaxation. Source: the Open Quantum Materials Database, functional PBE.

Output
E_form ... 0.230 eV/atom
Theoretical density ... 15.0 Mg/m³
Volume ... 14.174 A^3/atom

a = 4.738 Å, b = 8.073 Å, c = 4.446 Å
α = 90.00°, β = 90.00°, γ = 90.00°
Atoms (fractional coordinates):
Zn (0.341, 0.332, 0.500)
Zn (0.995, 0.343, 0.000)
Zn (0.510, 0.492, 0.000)
Zn (0.010, 0.675, 0.000)
Zn (0.841, 0.835, 0.500)
Zn (0.495, 0.823, 0.000)
Os (0.981, 0.020, 0.000)
Os (0.845, 0.499, 0.500)
Os (0.481, 0.147, 0.000)
Os (0.345, 0.667, 0.500)
Os (0.829, 0.177, 0.500)
Os (0.329, 0.989, 0.500)

---

No. 11
TbErCd2Cu4 after structural relaxation. Source: the Open Quantum Materials Database, functional PBE.

Output
E_form ... -0.211 eV/atom
Theoretical density ... 9.3 Mg/m³
Volume ... 18.049 A^3/atom

a = 4.674 Å, b = 4.674 Å, c = 6.609 Å
α = 90.00°, β = 90.00°, γ = 90.00°
Atoms (fractional coordinates):
Cd (0.500, 0.500, 0.000)
Cd (0.000, 0.000, 0.500)
Tb (0.500, 0.500, 0.500)
Cu (0.000, 0.500, 0.245)
Cu (0.500, 0.000, 0.755)
Cu (0.000, 0.500, 0.755)
Cu (0.500, 0.000, 0.245)
Er (0.000, 0.000, 0.000)

---

No. 12
Ba2SbIr after structural relaxation. Source: the Open Quantum Materials Database, functional PBE.

Output
Uncorrected energy ... -4.269 eV/atom
Theoretical density ... 8.6 Mg/m³
Volume ... 28.314 A^3/atom

a = 5.431 Å, b = 5.431 Å, c = 5.431 Å
α = 60.00°, β = 60.00°, γ = 60.00°
Atoms (fractional coordinates):
Ba (0.250, 0.250, 0.250)
Ba (0.000, 0.000, 0.000)
Ir (0.500, 0.500, 0.500)
Sb (0.750, 0.750, 0.750)